(1)
## Nd3NiGe2 (PBE)

Data for a relaxed structure of Nd3NiGe2.

Geometry as POSCAR:
```
Nd3NiGe2
1.0
4.292 0.000 0.000
0.000 11.729 0.000
0.000 0.000 11.820
Nd Ge Ni
12 8 4
Cartesian
1.073 4.378 0.698
1.073 0.672 10.431
3.219 3.569 9.267
3.219 6.536 7.299
3.219 2.295 3.357
1.073 1.486 6.608
3.219 10.242 5.212
1.073 5.192 4.521
3.219 11.057 1.389
1.073 9.433 8.463
3.219 7.351 11.121
1.073 8.160 2.553
1.073 5.797 9.502
3.219 5.931 2.318
1.073 8.065 5.633
3.219 11.662 8.227
1.073 0.067 3.592
3.219 3.663 6.186
1.073 9.527 11.543
3.219 2.201 0.277
3.219 7.427 4.388
3.219 10.165 10.297
1.073 4.301 7.432
1.073 1.563 1.522
```

Summary:
- space group = Pnma (62)
- energy relative to the elements (eV per atom) = -0.725
- crystal system = orthorhombic

(2)
## SrLi2Y2 (PBE)

Data for a relaxed structure of SrLi2Y2.

Geometry as POSCAR:
```
SrLi2Y2
1.0
9.343 0.000 0.000
0.000 9.343 0.000
0.000 0.000 3.596
Li Y Sr
4 4 2
Cartesian
7.925 6.090 0.000
6.090 1.418 0.000
1.418 3.254 0.000
3.254 7.925 0.000
3.384 1.287 1.798
8.056 3.384 1.798
5.959 8.056 1.798
1.287 5.959 1.798
4.672 4.672 0.000
0.000 0.000 0.000
```

Summary:
- space group = P4/mbm (127)
- energy relative to the elements (eV per atom) = 0.225
- crystal system = tetragonal
- E above lowest polymorph (eV per atom) = 0.000

(3)
## ReSiPCl2 (PBE)

Data for a relaxed structure of ReSiPCl2.

Geometry as POSCAR:
```
ReSiPCl2
1.0
-2.680 -0.519 -3.624
1.289 -4.337 -0.332
-3.799 -1.359 3.005
Cl Si Re P
2 1 1 1
Cartesian
-1.340 -0.260 -1.812
0.645 -2.169 -0.166
0.000 0.000 0.000
-2.595 -3.108 -0.475
-1.900 -0.679 1.503
```

Summary:
- space group = P4/mmm (123)
- crystal system = tetragonal
- E above lowest polymorph (eV per atom) = 0.299
- formation energy without anion corrections (eV/atom) = 1.06

(4)
## Ca2BeP (PBE)

Data for a relaxed structure of Ca2BeP.

Geometry as POSCAR:
```
Ca2BeP
1.0
7.178 0.037 -0.008
5.065 5.087 0.008
-6.017 -2.812 2.724
P Ca Be
1 2 1
Cartesian
5.109 2.138 0.000
3.641 -0.107 1.358
12.229 5.118 0.000
3.612 2.848 1.366
```

Summary:
- space group = Imm2 (44)
- energy relative to the elements (eV per atom) = -0.447
- crystal system = orthorhombic
- E above lowest polymorph (eV per atom) = 0.112

(5)
## HoZrZn17 (PBE)

Data for a relaxed structure of HoZrZn17.

Geometry as POSCAR:
```
HoZrZn17
1.0
6.675 0.031 0.823
0.731 6.635 0.823
0.035 0.031 6.725
Zn Ho Zr
17 1 1
Cartesian
2.969 5.658 3.340
4.749 4.275 2.228
0.774 0.696 0.870
2.021 0.044 4.943
4.425 1.198 4.978
7.038 3.422 7.917
0.533 4.641 2.586
1.656 4.275 4.978
4.672 0.044 2.586
2.505 4.641 0.833
6.723 6.052 7.563
2.621 2.359 6.289
0.255 2.005 4.943
4.879 2.005 0.833
4.141 6.640 7.917
5.939 2.359 3.340
7.377 6.640 5.040
4.945 4.451 5.563
2.467 2.221 2.776
```

Summary:
- space group = R3m (160)
- energy relative to the elements (eV per atom) = -0.177
- crystal system = trigonal

(6)
## CrHg2Ru (PBE)

Data for a relaxed structure of CrHg2Ru.

Geometry as POSCAR:
```
CrHg2Ru
1.0
3.003 0.575 0.000
-0.575 3.003 0.000
0.000 0.000 7.699
Cr Hg Ru
1 2 1
Cartesian
1.214 1.789 5.774
0.000 0.000 0.007
0.000 0.000 3.842
1.214 1.789 1.925
```

Summary:
- space group = P4/mmm (123)
- energy relative to the elements (eV per atom) = 0.605
- crystal system = tetragonal
- E above lowest polymorph (eV per atom) = 0.309

The evaluated V for the records listed, in turn: 24.8, 31.4, 20.7, 24.8, 15.7, 18.0 Å³ per atom.
The evaluated N(E_F) for the records listed, in turn: 0.763, 1.192, 0.366, 0.373, 0.234, 0.993 states/eV/atom.